An optimized crystal structure of YMg3W. Source: Alexandria via LeMat-Bulk, functional PBE.

Cell lengths 5.1197, 5.1197, 5.1197 Å; angles 90.00, 90.00, 90.00 degrees
Positions (direct):
Y (0.5000, 0.5000, 0.5000)
Mg (0.0000, 0.5000, 0.0000)
Mg (0.0000, 0.0000, 0.5000)
Mg (0.5000, 0.0000, 0.0000)
W (0.0000, 0.0000, 0.0000)

## Properties
- Energy relative to the lowest polymorph listed for this composition: 0 meV/atom
- Formation energy from the elements: 4.70 eV per formula unit

An optimized crystal structure of YMgW2. Source: Alexandria via LeMat-Bulk, functional PBE.

Cell lengths 3.3108, 3.3108, 7.5509 Å; angles 90.00, 90.00, 90.00 degrees
Positions (direct):
Mg (0.5000, 0.5000, 0.7963)
W (0.0000, 0.0000, 0.0320)
W (0.5000, 0.5000, 0.2010)
Y (0.0000, 0.0000, 0.4707)

## Properties
- Formation energy from the elements: 1.06 eV per formula unit

An optimized crystal structure of YMg14W. Source: Alexandria via LeMat-Bulk, functional PBE.

Cell lengths 6.4022, 6.4022, 10.1505 Å; angles 90.00, 90.00, 120.00 degrees
Positions (direct):
Y (0.0000, 0.0000, 0.0000)
Mg (0.0134, 0.5067, 0.0000)
Mg (0.9932, 0.4966, 0.5000)
Mg (0.4933, 0.9866, 0.0000)
Mg (0.5034, 0.0068, 0.5000)
Mg (0.4933, 0.5067, 0.0000)
Mg (0.5034, 0.4966, 0.5000)
Mg (0.1613, 0.8387, 0.2670)
Mg (0.1613, 0.8387, 0.7330)
Mg (0.1613, 0.3227, 0.2670)
Mg (0.1613, 0.3227, 0.7330)
Mg (0.6773, 0.8387, 0.2670)
Mg (0.6773, 0.8387, 0.7330)
Mg (0.6667, 0.3333, 0.2357)
Mg (0.6667, 0.3333, 0.7643)
W (0.0000, 0.0000, 0.5000)

## Properties
- Energy relative to the lowest polymorph listed for this composition: 26 meV/atom
- Formation energy from the elements: 2.55 eV per formula unit

An optimized crystal structure of YMgW2. Source: Alexandria via LeMat-Bulk, functional PBE.

Cell lengths 5.6421, 5.6421, 5.6421 Å; angles 142.60, 134.26, 60.51 degrees
Positions (direct):
Mg (0.7500, 0.2500, 0.5000)
W (0.9976, 0.9976, 0.0000)
W (0.5024, 0.5024, 0.0000)
Y (0.2500, 0.7500, 0.5000)

## Properties
- Formation energy from the elements: 2.39 eV per formula unit